## BaSi2Au5 (PBE)

Data for a relaxed BaSi2Au5 crystal.

Lattice parameters (Å, degrees): 4.563 7.210 10.212 90.00 90.00 90.00
Space group Immm (No. 71)
Symmetry-distinct sites (fractional):
Ba (0.000, 0.000, 0.000) (multiplicity 2)
Si (0.000, 0.500, 0.241) (multiplicity 4)
Au (0.000, 0.197, 0.349) (multiplicity 8)
Au (0.000, 0.500, 0.000) (multiplicity 2)

Results
Its size of the total moment is 0.000 μB/cell. The value obtained for the formation energy without anion corrections is -342 meV per atom.